# 1
DFT (PBE-GGA) results for crystalline MgB2PdRh at its relaxed geometry.

Cell: 3.993 3.993 4.855 Å, 90.00 90.00 90.00°
Sites, in units of the cell vectors:
Mg 0.000 0.000 0.000
B 0.000 0.500 0.500
B 0.500 0.000 0.500
Pd 0.000 0.000 0.500
Rh 0.500 0.500 0.000

Properties
Its electronic total energy is -4.564 eV per atom. The value obtained for the magnetic moment is 0.0 μB per cell. The value obtained for the energy of formation is 0.93 eV per atom.

=====

# 2
DFT (PBE-GGA) results for crystalline HoEr2Si2Pt7 at its relaxed geometry.

Cell: 4.019 4.019 13.761 Å, 96.44 96.44 89.51°
Sites, in units of the cell vectors:
Ho 0.000 0.000 0.000
Er 0.122 0.122 0.357
Er 0.878 0.878 0.643
Si 0.400 0.400 0.741
Si 0.600 0.600 0.259
Pt 0.063 0.563 0.162
Pt 0.360 0.360 0.570
Pt 0.437 0.937 0.838
Pt 0.500 0.500 0.000
Pt 0.563 0.063 0.162
Pt 0.640 0.640 0.430
Pt 0.937 0.437 0.838

Properties
Its electronic total energy is -6.701 eV per atom. The value obtained for the magnetic moment is 0.0 μB per cell.

=====

# 3
DFT (PBE-GGA) results for crystalline ZnCrCu2 at its relaxed geometry.

Cell: 2.527 3.791 5.315 Å, 90.00 90.36 90.00°
Sites, in units of the cell vectors:
Zn 0.000 0.000 0.000
Cr 0.000 0.000 0.500
Cu 0.498 0.500 0.254
Cu 0.502 0.500 0.746

Properties
Its electronic total energy is -4.564 eV per atom. The value obtained for the magnetic moment is 2.1 μB per cell. The value obtained for the energy of formation is 0.21 eV per atom.

=====

# 4
DFT (PBE-GGA) results for crystalline Cs4LiF5 at its relaxed geometry.

Cell: 7.048 7.048 7.048 Å, 100.51 100.51 129.43°
Sites, in units of the cell vectors:
Cs 0.103 0.705 0.808
Cs 0.295 0.103 0.398
Cs 0.705 0.897 0.602
Cs 0.897 0.295 0.192
Li 0.437 0.437 0.000
F 0.124 0.124 0.000
F 0.263 0.428 0.675
F 0.428 0.753 0.166
F 0.588 0.263 0.834
F 0.753 0.588 0.325

Properties
Its electronic total energy is -4.076 eV per atom. The value obtained for the magnetic moment is 0.2 μB per cell.

=====

# 5
DFT (PBE-GGA) results for crystalline ZnFeBr2 at its relaxed geometry.

Cell: 5.025 5.025 5.025 Å, 60.00 60.00 60.00°
Sites, in units of the cell vectors:
Zn 0.000 0.000 0.000
Fe 0.750 0.750 0.750
Br 0.250 0.250 0.250
Br 0.500 0.500 0.500

Properties
Its electronic total energy is -2.595 eV per atom. The calculation puts the energy above the most stable polymorph in this dataset at 3.10 eV per formula unit. The value obtained for the magnetic moment is 3.6 μB per cell.

=====

# 6
DFT (PBE-GGA) results for crystalline SmDy2Tl2Hg2 at its relaxed geometry.

Cell: 9.366 9.366 9.366 Å, 30.97 30.97 30.97°
Sites, in units of the cell vectors:
Sm 0.000 0.000 0.000
Dy 0.133 0.133 0.133
Dy 0.867 0.867 0.867
Tl 0.272 0.272 0.272
Tl 0.728 0.728 0.728
Hg 0.436 0.436 0.436
Hg 0.564 0.564 0.564

Properties
Its electronic total energy is -2.957 eV per atom. The value obtained for the magnetic moment is 0.0 μB per cell. The value obtained for the energy of formation is -0.21 eV per atom.